Density functional theory data (PBE with a Hubbard U) for a geometry-optimized Cs3Mn2Cl2F5 structure.

- calculated volume (Å³ per cell) = 268.23
- space group = No. 139
- E_tot (eV per atom) = -4.969

```
12
Lattice="-2.302 2.302 12.650 2.302 -2.302 12.650 2.302 2.302 -12.650" Properties=species:S:1:pos:R:3 pbc="T T T"
Cs 0.000 0.000 0.000
Cs 0.000 0.000 4.306
Cs 0.000 0.000 20.993
Mn 0.000 0.000 10.527
Mn 0.000 0.000 14.772
Cl 0.000 0.000 7.990
Cl 0.000 0.000 17.309
F 2.302 0.000 2.117
F 2.302 0.000 10.532
F 0.000 0.000 12.650
F 0.000 2.302 2.117
F 0.000 2.302 10.532
```